[1]
Li2HfN, relaxed, DFT PBE-GGA; space group = I-42d, No. 122; calculated volume = 15.857 A^3/atom; M_tot = 1.00 μB per formula unit; formation energy (no corrections) = 0.6783 eV per atom
1.0
5.644 0.000 0.000
0.000 5.644 0.000
2.822 2.822 3.982
Li Hf N
4 2 2
direct
0.377 0.125 0.250
0.373 0.625 0.250
0.375 0.623 0.750
0.875 0.627 0.750
0.000 0.000 0.000
0.750 0.250 0.500
0.500 0.500 0.000
0.250 0.750 0.500


[2]
LiHfN2, relaxed, DFT PBE-GGA; polymorph energy (0 for the lowest one) = 0.206 eV per atom; space group = I-42d, No. 122; calculated volume = 14.269 A^3/atom; M_tot = 1.00 μB per formula unit; formation energy (no corrections) = -0.6795 eV per atom
1.0
4.780 0.000 0.000
0.000 4.780 0.000
2.390 2.390 4.996
Li Hf N
2 2 4
direct
0.500 0.500 0.000
0.250 0.750 0.500
0.000 0.000 0.000
0.750 0.250 0.500
0.647 0.125 0.250
0.103 0.625 0.250
0.375 0.353 0.750
0.875 0.897 0.750